{"formula": "PmPaFe2O8", "functional": "PBE with a Hubbard U", "state": "optimized geometry", "dft_energy_ev_per_fu": -92.19, "m_tot_mub_per_atom": 0.666, "cell": [[-3.5779, 3.5779, 3.3208], [3.5779, -3.5779, 3.3208], [3.5779, 3.5779, -3.3208]], "species": ["Pm", "Pa", "Fe", "Fe", "O", "O", "O", "O", "O", "O", "O", "O"], "fractional_positions": [[0.0000, 0.0000, 0.0000], [0.2500, 0.7500, 0.5000], [0.5000, 0.5000, 0.0000], [0.7500, 0.2500, 0.5000], [0.3083, 0.1113, 0.8029], [0.3083, 0.5054, 0.1971], [0.3912, 0.0645, 0.3267], [0.4946, 0.6917, 0.8029], [0.7378, 0.0645, 0.6733], [0.8887, 0.6917, 0.1971], [0.9355, 0.2622, 0.3267], [0.9355, 0.6088, 0.6733]]}